Entry 1:
Material: CsPd2O2
Method: DFT, PBE
State: optimized geometry

```
10
Lattice="4.2082 0.0000 0.0000 0.0000 4.2082 0.0000 0.0000 0.0000 11.5103" Properties=species:S:1:pos:R:3 pbc="T T T"
Cs 0.0000 0.0000 0.0000
Cs 2.1041 2.1041 5.7551
Pd 0.0000 0.0000 3.3128
Pd 0.0000 0.0000 8.1975
Pd 2.1041 2.1041 2.4423
Pd 2.1041 2.1041 9.0679
O 0.0000 2.1041 2.8776
O 0.0000 2.1041 8.6327
O 2.1041 0.0000 2.8776
O 2.1041 0.0000 8.6327
```

Computed properties:
The symmetry is No. 139. The uncorrected formation energy comes out at -9.84 kcal/mol of atoms.

---

Entry 2:
Material: RbBi2W
Method: DFT, PBE
State: optimized geometry

```
16
Lattice="7.4186 0.0000 0.0000 0.0000 7.4186 0.0000 0.0000 0.0000 14.7567" Properties=species:S:1:pos:R:3 pbc="T T T"
Rb 0.0000 1.8546 5.5337
Rb 0.0000 5.5639 9.2229
Rb 3.7093 1.8546 1.8446
Rb 3.7093 5.5639 12.9121
Bi 0.0000 0.0000 0.0000
Bi 0.0000 3.7093 0.0000
Bi 1.8546 1.8546 11.0675
Bi 1.8546 5.5639 3.6892
Bi 3.7093 0.0000 7.3783
Bi 3.7093 3.7093 7.3783
Bi 5.5639 1.8546 11.0675
Bi 5.5639 5.5639 3.6892
W 0.0000 1.8546 12.9121
W 0.0000 5.5639 1.8446
W 3.7093 1.8546 9.2229
W 3.7093 5.5639 5.5337
```

Computed properties:
The symmetry is No. 141. As for the energy of formation: 2.7 eV per formula unit.

---

Entry 3:
Material: InTe
Method: DFT, PBE
State: optimized geometry

```
12
Lattice="15.9073 0.0000 0.0000 0.0000 3.1121 0.0000 -1.4397 0.0000 7.7834" Properties=species:S:1:pos:R:3 pbc="T T T"
In 0.0000 0.0000 0.0000
In -0.7933 1.5561 4.4115
In 1.8753 0.0000 7.6699
In 7.9537 1.5561 0.0000
In 7.1604 0.0000 4.4115
In 9.8290 1.5561 7.6699
Te 1.6845 1.5561 2.6225
Te 4.3141 0.0000 5.6925
Te 5.5798 1.5561 1.9199
Te 9.6382 0.0000 2.6225
Te 12.2678 1.5561 5.6925
Te 13.5334 0.0000 1.9199
```

Computed properties:
The symmetry is No. 8. The uncorrected formation energy comes out at -1.90 kcal/mol of atoms.

---

Entry 4:
Material: Dy2PaZn
Method: DFT, PBE
State: optimized geometry

```
4
Lattice="3.4046 0.0000 0.0000 0.0000 3.4046 0.0000 0.0000 0.0000 8.6777" Properties=species:S:1:pos:R:3 pbc="T T T"
Dy 0.0000 0.0000 1.9382
Dy 0.0000 0.0000 6.7395
Pa 1.7023 1.7023 4.3389
Zn 1.7023 1.7023 0.0000
```

Computed properties:
The symmetry is No. 123. As for the energy of formation: -0.3 eV per formula unit.

---

Entry 5:
Material: TaPSe2
Method: DFT, PBE
State: optimized geometry

```
12
Lattice="3.2865 0.0000 0.0000 -1.6432 2.8462 0.0000 0.0000 0.0000 25.0751" Properties=species:S:1:pos:R:3 pbc="T T T"
Ta 0.0000 0.0000 0.0000
Ta 0.0000 1.8974 16.7167
Ta 1.6432 0.9487 8.3584
P 0.0000 0.0000 12.5375
P 0.0000 1.8974 4.1792
P 1.6432 0.9487 20.8959
Se 0.0000 0.0000 6.5600
Se 0.0000 0.0000 18.5151
Se 0.0000 1.8974 10.1567
Se 0.0000 1.8974 23.2768
Se 1.6432 0.9487 1.7983
Se 1.6432 0.9487 14.9184
```

Computed properties:
The symmetry is No. 166. The uncorrected formation energy comes out at -0.53 kcal/mol of atoms.

---

Entry 6:
Material: BaCaHg2Au4
Method: DFT, PBE
State: optimized geometry

```
8
Lattice="2.4699 1.4260 9.5533 -2.4699 1.4260 9.5533 0.0000 -2.8519 9.5533" Properties=species:S:1:pos:R:3 pbc="T T T"
Ba 0.0000 0.0000 0.0000
Ca 0.0000 0.0000 14.3299
Hg 0.0000 0.0000 6.8812
Hg 0.0000 0.0000 21.7786
Au 0.0000 0.0000 3.4798
Au 0.0000 0.0000 11.3598
Au 0.0000 0.0000 17.3001
Au 0.0000 0.0000 25.1801
```

Computed properties:
The symmetry is No. 166. As for the energy of formation: -3.9 eV per formula unit.

---

Entry 7:
Material: EuZrTl2
Method: DFT, PBE
State: optimized geometry

```
4
Lattice="5.5598 0.0000 0.0000 0.0000 5.5598 0.0000 0.0000 0.0000 3.3944" Properties=species:S:1:pos:R:3 pbc="T T T"
Eu 0.0000 0.0000 0.0000
Zr 2.7799 2.7799 0.0000
Tl 0.0000 2.7799 1.6972
Tl 2.7799 0.0000 1.6972
```

Computed properties:
The symmetry is No. 123. As for the energy of formation: -0.4 eV per formula unit.

---

Entry 8:
Material: Ba3Sr4
Method: DFT, PBE
State: optimized geometry

```
14
Lattice="4.8828 0.0000 0.0000 0.0000 4.8828 0.0000 0.0000 0.0000 33.8149" Properties=species:S:1:pos:R:3 pbc="T T T"
Ba 0.0000 0.0000 0.0000
Ba 0.0000 0.0000 9.7367
Ba 0.0000 0.0000 24.0782
Ba 2.4414 2.4414 7.1708
Ba 2.4414 2.4414 16.9074
Ba 2.4414 2.4414 26.6441
Sr 0.0000 0.0000 4.7253
Sr 0.0000 0.0000 14.4707
Sr 0.0000 0.0000 19.3442
Sr 0.0000 0.0000 29.0896
Sr 2.4414 2.4414 2.4368
Sr 2.4414 2.4414 12.1821
Sr 2.4414 2.4414 21.6328
Sr 2.4414 2.4414 31.3781
```

Computed properties:
The symmetry is No. 139. As for the energy of formation: 0.0 eV per formula unit.

---

Entry 9:
Material: SrLa2Cl
Method: DFT, PBE
State: optimized geometry

```
4
Lattice="3.6550 0.0000 0.0000 0.0000 3.6550 0.0000 0.0000 0.0000 10.4044" Properties=species:S:1:pos:R:3 pbc="T T T"
Sr 0.0000 0.0000 0.0000
La 1.8275 1.8275 3.2995
La 1.8275 1.8275 7.1049
Cl 0.0000 0.0000 5.2022
```

Computed properties:
The symmetry is No. 123. The uncorrected formation energy comes out at -10.91 kcal/mol of atoms.

---

Entry 10:
Material: NdYHg
Method: DFT, PBE
State: optimized geometry

```
12
Lattice="7.0379 0.0000 0.0000 0.0000 5.2864 0.0000 0.0000 0.0000 9.4722" Properties=species:S:1:pos:R:3 pbc="T T T"
Nd 1.2643 1.3216 0.7274
Nd 2.2546 3.9648 5.4635
Nd 4.7832 1.3216 4.0087
Nd 5.7736 3.9648 8.7448
Y 0.0973 1.3216 6.6202
Y 3.4216 3.9648 1.8841
Y 3.6163 1.3216 7.5880
Y 6.9405 3.9648 2.8520
Hg 1.5978 1.3216 3.8110
Hg 1.9211 3.9648 8.5471
Hg 5.1167 1.3216 0.9251
Hg 5.4401 3.9648 5.6612
```

Computed properties:
The symmetry is No. 62. As for the energy of formation: -1.1 eV per formula unit.

---

Entry 11:
Material: Zr3BMo
Method: DFT, PBE
State: optimized geometry

```
5
Lattice="4.5919 0.0000 0.0000 0.0000 4.5919 0.0000 0.0000 0.0000 4.5919" Properties=species:S:1:pos:R:3 pbc="T T T"
Zr 0.0000 0.0000 2.2959
Zr 0.0000 2.2959 0.0000
Zr 2.2959 0.0000 0.0000
B 0.0000 0.0000 0.0000
Mo 2.2959 2.2959 2.2959
```

Computed properties:
The symmetry is No. 221. As for the energy of formation: 0.8 eV per formula unit.

---

Entry 12:
Material: ErCd8Cu4
Method: DFT, PBE
State: optimized geometry

```
13
Lattice="-4.7948 4.7948 2.6799 4.7948 -4.7948 2.6799 4.7948 4.7948 -2.6799" Properties=species:S:1:pos:R:3 pbc="T T T"
Er 0.0000 0.0000 0.0000
Cd 3.2513 0.0000 0.0000
Cd 6.3384 0.0000 0.0000
Cd 4.7948 2.7357 0.0000
Cd 0.0000 3.2513 0.0000
Cd 2.7357 4.7948 0.0000
Cd 2.0592 0.0000 2.6799
Cd 0.0000 6.3384 0.0000
Cd 0.0000 2.0592 2.6799
Cu 2.3974 2.3974 -1.3399
Cu 2.3974 -2.3974 1.3399
Cu -2.3974 2.3974 1.3399
Cu 2.3974 2.3974 1.3399
```

Computed properties:
The symmetry is No. 139. As for the energy of formation: -0.9 eV per formula unit.

---

Entry 13:
Material: LaGeS3
Method: DFT, PBE
State: optimized geometry

```
20
Lattice="6.8279 0.0000 0.0000 0.0000 7.6881 0.0000 -6.3979 0.0000 9.2555" Properties=species:S:1:pos:R:3 pbc="T T T"
La -0.1426 0.9676 2.3435
La -3.3415 2.8765 6.9712
La 3.7715 4.8116 2.2843
La 0.5726 6.7205 6.9121
Ge 0.5772 4.6442 0.6710
Ge -2.6217 6.8879 5.2987
Ge 3.0517 0.8002 3.9568
Ge -0.1472 3.0438 8.5846
S -5.4719 1.3760 8.5980
S -2.2729 2.4681 3.9703
S -4.0456 5.2871 8.7418
S -0.8466 6.2451 4.1141
S -2.0915 0.1654 7.2190
S 1.1074 3.6787 2.5912
S -0.6775 4.0094 6.6643
S 2.5215 7.5227 2.0365
S 1.2766 1.4430 5.1415
S 4.4756 2.4010 0.5137
S 2.7029 5.2200 5.2853
S 5.9019 6.3121 0.6575
```

Computed properties:
The symmetry is No. 14. The uncorrected formation energy comes out at -28.73 kcal/mol of atoms.

---

Entry 14:
Material: In2GeHBr
Method: DFT, PBE
State: optimized geometry

```
5
Lattice="5.6981 0.0000 0.0000 0.0000 5.6981 0.0000 0.0000 0.0000 3.6571" Properties=species:S:1:pos:R:3 pbc="T T T"
In 0.0000 2.8491 0.0000
In 2.8491 0.0000 0.0000
Ge 0.0000 0.0000 0.0000
H 0.0000 0.0000 1.8286
Br 2.8491 2.8491 1.8286
```

Computed properties:
The symmetry is No. 123. The calculation puts the final energy at -15.29 eV for the cell shown.

---

Entry 15:
Material: PrSm2I6
Method: DFT, PBE
State: optimized geometry

```
9
Lattice="3.8243 2.2079 7.4381 -3.8243 2.2079 7.4381 0.0000 -4.4159 7.4381" Properties=species:S:1:pos:R:3 pbc="T T T"
Pr 0.0000 0.0000 0.0000
Sm 0.0000 0.0000 3.5793
Sm 0.0000 0.0000 11.0732
I -1.3408 -2.1711 9.2381
I -2.4944 0.0794 12.9843
I -1.2098 2.2467 9.2381
I 1.1785 -2.1999 12.9843
I 2.5507 -0.0756 9.2381
I 1.3159 2.1206 12.9843
```

Computed properties:
The symmetry is No. 146. The uncorrected formation energy comes out at -27.02 kcal/mol of atoms.

---

Entry 16:
Material: LiAc2P
Method: DFT, PBE
State: optimized geometry

```
12
Lattice="4.2652 0.0000 0.0000 -2.1326 3.6938 0.0000 0.0000 0.0000 27.0825" Properties=species:S:1:pos:R:3 pbc="T T T"
Li 0.0000 0.0000 0.0000
Li 0.0000 2.4625 18.0550
Li 2.1326 1.2313 9.0275
Ac 0.0000 0.0000 6.2944
Ac 0.0000 0.0000 20.7880
Ac 0.0000 2.4625 11.7605
Ac 0.0000 2.4625 24.3494
Ac 2.1326 1.2313 2.7331
Ac 2.1326 1.2313 15.3219
P 0.0000 0.0000 13.5412
P 0.0000 2.4625 4.5138
P 2.1326 1.2313 22.5687
```

Computed properties:
The symmetry is No. 166. As for the energy of formation: -2.3 eV per formula unit.

---

Entry 17:
Material: K3LaU2Te6
Method: DFT, PBE
State: optimized geometry

```
12
Lattice="3.9678 -6.8733 0.0000 3.9678 6.8733 0.0000 -2.6477 0.0000 8.2697" Properties=species:S:1:pos:R:3 pbc="T T T"
K 0.0000 0.0000 0.0000
K 3.9678 2.2573 0.0000
K 3.9678 -2.2573 0.0000
La 2.6440 0.0000 4.1349
U 2.6440 4.5766 4.1349
U 2.6440 -4.5766 4.1349
Te 1.2851 2.3513 2.3669
Te -0.0737 0.0000 5.8962
Te 1.2851 -2.3513 2.3669
Te 4.0028 2.3513 5.9029
Te 5.3617 0.0000 2.3735
Te 4.0028 -2.3513 5.9029
```

Computed properties:
The symmetry is No. 12. The uncorrected formation energy comes out at -24.29 kcal/mol of atoms.

---

Entry 18:
Material: TbLuBe2
Method: DFT, PBE
State: optimized geometry

```
16
Lattice="6.7607 0.0000 0.0000 0.0000 6.7607 0.0000 0.0000 0.0000 6.7607" Properties=species:S:1:pos:R:3 pbc="T T T"
Tb 0.0000 0.0000 0.0000
Tb 0.0000 3.3804 3.3804
Tb 3.3804 0.0000 3.3804
Tb 3.3804 3.3804 0.0000
Lu 0.0000 0.0000 3.3804
Lu 0.0000 3.3804 0.0000
Lu 3.3804 0.0000 0.0000
Lu 3.3804 3.3804 3.3804
Be 1.6902 1.6902 1.6902
Be 1.6902 1.6902 5.0705
Be 1.6902 5.0705 1.6902
Be 1.6902 5.0705 5.0705
Be 5.0705 1.6902 1.6902
Be 5.0705 1.6902 5.0705
Be 5.0705 5.0705 1.6902
Be 5.0705 5.0705 5.0705
```

Computed properties:
The symmetry is No. 225. As for the energy of formation: 0.3 eV per formula unit.

---

Entry 19:
Material: Pm3SmCd2
Method: DFT, PBE
State: optimized geometry

```
6
Lattice="3.7506 0.0000 0.0000 0.0000 3.7506 0.0000 0.0000 0.0000 12.8887" Properties=species:S:1:pos:R:3 pbc="T T T"
Pm 0.0000 0.0000 0.0000
Pm 0.0000 0.0000 3.9448
Pm 0.0000 0.0000 8.9439
Sm 1.8753 1.8753 6.4443
Cd 1.8753 1.8753 1.9800
Cd 1.8753 1.8753 10.9086
```

Computed properties:
The symmetry is No. 123. As for the energy of formation: -1.2 eV per formula unit.

---

Entry 20:
Material: CuMoPt4
Method: DFT, PBE
State: optimized geometry

```
12
Lattice="8.1740 0.0000 0.0000 0.0000 3.7642 0.0000 -3.9808 0.0000 6.8327" Properties=species:S:1:pos:R:3 pbc="T T T"
Cu 0.0000 0.0000 0.0000
Cu 4.0870 1.8821 0.0000
Mo -1.9904 1.8821 3.4163
Mo 2.0966 0.0000 3.4163
Pt -0.4363 0.0000 2.5225
Pt -2.3610 1.8821 5.9685
Pt 2.4673 0.0000 0.8642
Pt 0.5425 1.8821 4.3102
Pt 3.6508 1.8821 2.5225
Pt 1.7260 0.0000 5.9685
Pt 6.5543 1.8821 0.8642
Pt 4.6295 0.0000 4.3102
```

Computed properties:
The symmetry is No. 12. As for the energy of formation: 0.4 eV per formula unit.

---

Entry 21:
Material: CsTl5In
Method: DFT, PBE
State: optimized geometry

```
7
Lattice="5.3497 0.0000 0.0000 0.0000 5.3497 0.0000 0.0000 0.0000 9.8700" Properties=species:S:1:pos:R:3 pbc="T T T"
Cs 0.0000 0.0000 0.0000
Tl 0.0000 2.6749 3.0181
Tl 0.0000 2.6749 6.8520
Tl 2.6749 0.0000 3.0181
Tl 2.6749 0.0000 6.8520
Tl 2.6749 2.6749 4.9350
In 0.0000 0.0000 4.9350
```

Computed properties:
The symmetry is No. 123. As for the energy of formation: -0.2 eV per formula unit.

---

Entry 22:
Material: Y3FePt12
Method: DFT, PBE
State: optimized geometry

```
16
Lattice="4.0885 0.0000 0.0000 0.0000 4.0885 0.0000 0.0000 0.0000 16.2368" Properties=species:S:1:pos:R:3 pbc="T T T"
Y 0.0000 0.0000 0.0000
Y 0.0000 0.0000 4.1549
Y 0.0000 0.0000 12.0819
Fe 0.0000 0.0000 8.1184
Pt 0.0000 2.0442 2.0854
Pt 0.0000 2.0442 6.2902
Pt 0.0000 2.0442 9.9466
Pt 0.0000 2.0442 14.1514
Pt 2.0442 0.0000 2.0854
Pt 2.0442 0.0000 6.2902
Pt 2.0442 0.0000 9.9466
Pt 2.0442 0.0000 14.1514
Pt 2.0442 2.0442 0.0000
Pt 2.0442 2.0442 4.1856
Pt 2.0442 2.0442 8.1184
Pt 2.0442 2.0442 12.0512
```

Computed properties:
The symmetry is No. 123. As for the energy of formation: -12.6 eV per formula unit.

---

Entry 23:
Material: CsSrAcCl6
Method: DFT, PBE
State: optimized geometry

```
18
Lattice="7.7585 0.0000 0.0000 -3.8792 6.7190 0.0000 0.0000 0.0000 14.6281" Properties=species:S:1:pos:R:3 pbc="T T T"
Cs 0.0000 0.0000 0.0000
Cs 0.0000 0.0000 7.3140
Sr 0.0000 4.4794 3.6570
Sr 3.8792 2.2397 10.9710
Ac 0.0000 4.4794 10.9710
Ac 3.8792 2.2397 3.6570
Cl -1.4372 2.5197 9.3934
Cl -2.4157 4.2146 12.5487
Cl 1.4372 2.5197 12.5487
Cl -0.9785 6.7038 9.3934
Cl 2.9007 0.0152 2.0794
Cl 1.4635 2.5045 5.2347
Cl 2.4157 4.2146 9.3934
Cl 0.9785 6.7038 12.5487
Cl 4.8578 0.0152 5.2347
Cl 2.4421 4.1994 2.0794
Cl 6.2950 2.5045 2.0794
Cl 5.3164 4.1994 5.2347
```

Computed properties:
The symmetry is No. 163. The uncorrected formation energy comes out at -54.49 kcal/mol of atoms.

---

Entry 24:
Material: TaAlIrRh
Method: DFT, PBE
State: optimized geometry

```
16
Lattice="6.2622 0.0000 0.0000 0.0000 6.2622 0.0000 0.0000 0.0000 6.2622" Properties=species:S:1:pos:R:3 pbc="T T T"
Ta 0.0000 0.0000 0.0000
Ta 0.0000 3.1311 3.1311
Ta 3.1311 0.0000 3.1311
Ta 3.1311 3.1311 0.0000
Al 0.0000 0.0000 3.1311
Al 0.0000 3.1311 0.0000
Al 3.1311 0.0000 0.0000
Al 3.1311 3.1311 3.1311
Ir 1.5656 1.5656 1.5656
Ir 1.5656 4.6967 4.6967
Ir 4.6967 1.5656 4.6967
Ir 4.6967 4.6967 1.5656
Rh 1.5656 1.5656 4.6967
Rh 1.5656 4.6967 1.5656
Rh 4.6967 1.5656 1.5656
Rh 4.6967 4.6967 4.6967
```

Computed properties:
The symmetry is No. 216. As for the energy of formation: -2.7 eV per formula unit.

---

Entry 25:
Material: Co4TeMo
Method: DFT, PBE
State: optimized geometry

```
6
Lattice="0.0000 3.4028 3.4028 3.4028 0.0000 3.4028 3.4028 3.4028 0.0000" Properties=species:S:1:pos:R:3 pbc="T T T"
Co 0.8446 0.8446 0.8446
Co 2.5582 2.5582 0.8446
Co 2.5582 0.8446 2.5582
Co 0.8446 2.5582 2.5582
Te 3.4028 3.4028 3.4028
Mo 5.1041 5.1041 5.1041
```

Computed properties:
The symmetry is No. 216. The uncorrected formation energy comes out at 7.89 kcal/mol of atoms.

---

Total magnetic moment (μB/cell)
0.00; 0.00; 0.00; 0.00; 0.00; 0.00; 7.24; 0.00; 0.02; 0.00; 0.00; 0.00; 0.00; 0.00; 0.89; 0.00; 6.01; 0.00; 0.26; 0.00; 0.00; 4.66; 0.00; 0.00; 4.46